1.
First-principles (GGA-PBEsol) data for a geometry-optimized Cs3In3P4O16 structure, as listed in the Alexandria database.

Computed properties:
Formation energy (no corrections) = -2148 meV per atom
Symmetry = C2/c (15)

Unit cell a=9.6553 b=9.6553 c=9.9764 alpha=88.83 beta=88.83 gamma=63.02
Element x y z (fractional)
Cs (0.5575, 0.6725, 0.8137)
Cs (0.3275, 0.4425, 0.6863)
Cs (0.4425, 0.3275, 0.1863)
Cs (0.6725, 0.5575, 0.3137)
Cs (0.5000, 0.0000, 0.5000)
Cs (0.0000, 0.5000, 0.0000)
In (0.0837, 0.9163, 0.7500)
In (0.9163, 0.0837, 0.2500)
In (0.3294, 0.9636, 0.1687)
In (0.0364, 0.6706, 0.3313)
In (0.6706, 0.0364, 0.8313)
In (0.9636, 0.3294, 0.6687)
P (0.2274, 0.7946, 0.4394)
P (0.2054, 0.7726, 0.0606)
P (0.7726, 0.2054, 0.5606)
P (0.7946, 0.2274, 0.9394)
P (0.2837, 0.1151, 0.8562)
P (0.8849, 0.7163, 0.6438)
P (0.7163, 0.8849, 0.1438)
P (0.1151, 0.2837, 0.3562)
O (0.3407, 0.8296, 0.3514)
O (0.1704, 0.6593, 0.1486)
O (0.6593, 0.1704, 0.6486)
O (0.8296, 0.3407, 0.8514)
O (0.0541, 0.8871, 0.3857)
O (0.1129, 0.9459, 0.1143)
O (0.9459, 0.1129, 0.6143)
O (0.8871, 0.0541, 0.8857)
O (0.2476, 0.8313, 0.5852)
O (0.1687, 0.7524, 0.9148)
O (0.7524, 0.1687, 0.4148)
O (0.8313, 0.2476, 0.0852)
O (0.2566, 0.6222, 0.4287)
O (0.3778, 0.7434, 0.0713)
O (0.7434, 0.3778, 0.5713)
O (0.6222, 0.2566, 0.9287)
O (0.1551, 0.2690, 0.7991)
O (0.7310, 0.8449, 0.7009)
O (0.8449, 0.7310, 0.2009)
O (0.2690, 0.1551, 0.2991)
O (0.2920, 0.1281, 0.0103)
O (0.8719, 0.7080, 0.4897)
O (0.7080, 0.8719, 0.9897)
O (0.1281, 0.2920, 0.5103)
O (0.4385, 0.0947, 0.7908)
O (0.9053, 0.5615, 0.7092)
O (0.5615, 0.9053, 0.2092)
O (0.0947, 0.4385, 0.2908)
O (0.2538, 0.9779, 0.8185)
O (0.0221, 0.7462, 0.6815)
O (0.7462, 0.0221, 0.1815)
O (0.9779, 0.2538, 0.3185)

***

2.
First-principles (GGA-PBEsol) data for a geometry-optimized TeSeI2Cl structure, as listed in the Alexandria database.

Computed properties:
Formation energy (no corrections) = 836 meV per atom
Symmetry = P4/mmm (123)

Unit cell a=5.2620 b=5.6031 c=5.6031 alpha=90.00 beta=90.00 gamma=90.00
Last column: magnetic moment on the atom in μB.
Element x y z (fractional)
I (0.0000, 0.0000, 0.5000)  0.09
I (0.0000, 0.5000, 0.0000)  0.09
Te (0.5000, 0.0000, 0.0000)  -0.02
Se (0.5000, 0.5000, 0.5000)  0.88
Cl (0.0000, 0.0000, 0.0000)  0.00

***

3.
First-principles (GGA-PBEsol) data for a geometry-optimized KPdI2N structure, as listed in the Alexandria database.

Computed properties:
Formation energy (no corrections) = 1337 meV per atom
Symmetry = P4/mmm (123)

Unit cell a=4.9030 b=6.2106 c=6.2106 alpha=90.00 beta=90.00 gamma=90.00
Last column: magnetic moment on the atom in μB.
Element x y z (fractional)
I (0.0000, 0.0000, 0.5000)  0.20
I (0.0000, 0.5000, 0.0000)  0.20
K (0.0000, 0.0000, 0.0000)  0.04
Pd (0.5000, 0.5000, 0.5000)  0.67
N (0.5000, 0.0000, 0.0000)  1.83

***

4.
First-principles (GGA-PBEsol) data for a geometry-optimized Zn2CoSi structure, as listed in the Alexandria database.

Computed properties:
Formation energy (no corrections) = -3 meV per atom
Symmetry = C2/m (12)

Unit cell a=2.6386 b=4.1965 c=5.1169 alpha=113.54 beta=103.94 gamma=92.37
Element x y z (fractional)
Co (0.5000, 0.5000, 0.0000)
Si (0.0000, 0.0000, 0.0000)
Zn (0.0000, 0.0000, 0.5000)
Zn (0.5000, 0.5000, 0.5000)

***

5.
First-principles (GGA-PBEsol) data for a geometry-optimized K4Ti4I12O structure, as listed in the Alexandria database.

Computed properties:
Formation energy (no corrections) = -1195 meV per atom
Symmetry = I4/m (87)

Unit cell a=7.9488 b=10.4032 c=10.4032 alpha=81.61 beta=67.54 gamma=67.54
Last column: magnetic moment on the atom in μB.
Element x y z (fractional)
K (0.8194, 0.7656, 0.5955)  0.00
K (0.1806, 0.2344, 0.4045)  0.00
K (0.4150, 0.4045, 0.7656)  0.00
K (0.5850, 0.5955, 0.2344)  0.00
Ti (0.1432, 0.8861, 0.8276)  0.83
Ti (0.8568, 0.1139, 0.1724)  0.83
Ti (0.9707, 0.1724, 0.8861)  0.83
Ti (0.0293, 0.8276, 0.1139)  0.83
I (0.0653, 0.5842, 0.2853)  0.00
I (0.9347, 0.4158, 0.7147)  0.00
I (0.3505, 0.7147, 0.5842)  0.00
I (0.6495, 0.2853, 0.4158)  0.00
I (0.3617, 0.0592, 0.7079)  0.00
I (0.1288, 0.9408, 0.2921)  0.00
I (0.0697, 0.2921, 0.0592)  0.00
I (0.4209, 0.7079, 0.9408)  0.00
I (0.6383, 0.9408, 0.2921)  0.00
I (0.8712, 0.0592, 0.7079)  0.00
I (0.9303, 0.7079, 0.9408)  0.00
I (0.5791, 0.2921, 0.0592)  0.00
O (0.0000, 0.0000, 0.0000)  -0.03

***

6.
First-principles (GGA-PBEsol) data for a geometry-optimized BaIn2Hg2 structure, as listed in the Alexandria database.

Computed properties:
Symmetry = I4/mmm (139)
Energy of formation from the pure elements = -0.451 eV per atom

Unit cell a=4.7331 b=4.7331 c=7.0594 alpha=109.59 beta=109.59 gamma=90.00
Element x y z (fractional)
In (0.2500, 0.7500, 0.5000)
In (0.7500, 0.2500, 0.5000)
Hg (0.3869, 0.3869, 0.7738)
Hg (0.6131, 0.6131, 0.2262)
Ba (0.0000, 0.0000, 0.0000)

***

Number 1: total magnetic moment 0.0 Bohr magnetons per cell, VASP energy -6.722 eV per atom. Number 2: total magnetic moment 1.6 Bohr magnetons per cell, VASP energy -1.747 eV per atom. Number 3: total magnetic moment 4.0 Bohr magnetons per cell, VASP energy -2.493 eV per atom. Number 4: total magnetic moment 0.0 Bohr magnetons per cell, VASP energy -4.165 eV per atom. Number 5: total magnetic moment 4.0 Bohr magnetons per cell, VASP energy -4.256 eV per atom. Number 6: total magnetic moment 0.0 Bohr magnetons per cell, VASP energy -2.301 eV per atom.